# 1
{
  "formula": "Y4Ni2N",
  "functional": "PBE-GGA",
  "state": "optimized geometry",
  "lattice": [[-2.295, 2.295, 7.505], [2.295, -2.295, 7.505], [2.295, 2.295, -7.505]],
  "species": ["Y", "Y", "Y", "Y", "Ni", "Ni", "N"],
  "fractional_positions": [[0.000, 0.500, 0.500], [0.191, 0.191, 0.000], [0.500, 0.000, 0.500], [0.809, 0.809, 0.000], [0.369, 0.369, 0.000], [0.631, 0.631, 0.000], [0.500, 0.500, 0.000]],
  "final_energy_ev_per_atom": -6.8591,
  "sg": "I4/mmm, No. 139"
}

---

# 2
{
  "formula": "YNiN3",
  "functional": "PBE-GGA",
  "state": "optimized geometry",
  "lattice": [[4.330, 0.000, 0.000], [0.000, 4.330, 0.000], [0.000, 0.000, 4.330]],
  "species": ["Y", "Ni", "N", "N", "N"],
  "fractional_positions": [[0.000, 0.000, 0.000], [0.500, 0.500, 0.500], [0.000, 0.000, 0.500], [0.000, 0.500, 0.000], [0.500, 0.000, 0.000]],
  "final_energy_ev_per_atom": -5.5230,
  "sg": "Pm-3m, No. 221"
}

---

# 3
{
  "formula": "YNi3N",
  "functional": "PBE-GGA",
  "state": "optimized geometry",
  "lattice": [[3.973, 0.000, 0.000], [0.000, 3.973, 0.000], [0.000, 0.000, 3.973]],
  "species": ["Y", "Ni", "Ni", "Ni", "N"],
  "fractional_positions": [[0.000, 0.000, 0.000], [0.000, 0.500, 0.500], [0.500, 0.000, 0.500], [0.500, 0.500, 0.000], [0.500, 0.500, 0.500]],
  "polymorph_energy_ev_per_fu": 0.000,
  "final_energy_ev_per_atom": -6.6413,
  "sg": "Pm-3m, No. 221"
}

---

# 4
{
  "formula": "Y12Ni3N5",
  "functional": "PBE-GGA",
  "state": "optimized geometry",
  "lattice": [[-7.582, 7.582, 7.582], [7.582, -7.582, 7.582], [7.582, 7.582, -7.582]],
  "species": ["Y", "Y", "Y", "Y", "Y", "Y", "Y", "Y", "Y", "Y", "Y", "Y", "Y", "Y", "Y", "Y", "Y", "Y", "Y", "Y", "Y", "Y", "Y", "Y", "Y", "Y", "Y", "Y", "Y", "Y", "Y", "Y", "Y", "Y", "Y", "Y", "Y", "Y", "Y", "Y", "Y", "Y", "Y", "Y", "Y", "Y", "Y", "Y", "Ni", "Ni", "Ni", "Ni", "Ni", "Ni", "Ni", "Ni", "Ni", "Ni", "Ni", "Ni", "N", "N", "N", "N", "N", "N", "N", "N", "N", "N", "N", "N", "N", "N", "N", "N", "N", "N", "N", "N"],
  "fractional_positions": [[0.023, 0.205, 0.120], [0.023, 0.318, 0.903], [0.085, 0.705, 0.682], [0.085, 0.880, 0.403], [0.097, 0.620, 0.415], [0.097, 0.977, 0.682], [0.120, 0.023, 0.205], [0.120, 0.597, 0.915], [0.182, 0.205, 0.585], [0.182, 0.477, 0.597], [0.205, 0.120, 0.023], [0.205, 0.585, 0.182], [0.295, 0.318, 0.915], [0.295, 0.477, 0.380], [0.318, 0.903, 0.023], [0.318, 0.915, 0.295], [0.380, 0.295, 0.477], [0.380, 0.585, 0.903], [0.403, 0.085, 0.880], [0.403, 0.818, 0.523], [0.415, 0.097, 0.620], [0.415, 0.818, 0.795], [0.477, 0.380, 0.295], [0.477, 0.597, 0.182], [0.523, 0.403, 0.818], [0.523, 0.620, 0.705], [0.585, 0.182, 0.205], [0.585, 0.903, 0.380], [0.597, 0.182, 0.477], [0.597, 0.915, 0.120], [0.620, 0.415, 0.097], [0.620, 0.705, 0.523], [0.682, 0.085, 0.705], [0.682, 0.097, 0.977], [0.705, 0.523, 0.620], [0.705, 0.682, 0.085], [0.795, 0.415, 0.818], [0.795, 0.880, 0.977], [0.818, 0.523, 0.403], [0.818, 0.795, 0.415], [0.880, 0.403, 0.085], [0.880, 0.977, 0.795], [0.903, 0.023, 0.318], [0.903, 0.380, 0.585], [0.915, 0.120, 0.597], [0.915, 0.295, 0.318], [0.977, 0.682, 0.097], [0.977, 0.795, 0.880], [0.125, 0.250, 0.375], [0.125, 0.375, 0.750], [0.250, 0.375, 0.125], [0.250, 0.875, 0.625], [0.375, 0.125, 0.250], [0.375, 0.750, 0.125], [0.625, 0.250, 0.875], [0.625, 0.875, 0.750], [0.750, 0.125, 0.375], [0.750, 0.625, 0.875], [0.875, 0.625, 0.250], [0.875, 0.750, 0.625], [0.000, 0.000, 0.000], [0.000, 0.000, 0.500], [0.000, 0.500, 0.000], [0.000, 0.500, 0.500], [0.125, 0.750, 0.875], [0.125, 0.875, 0.250], [0.250, 0.125, 0.875], [0.250, 0.625, 0.375], [0.375, 0.250, 0.625], [0.375, 0.625, 0.750], [0.500, 0.000, 0.000], [0.500, 0.000, 0.500], [0.500, 0.500, 0.000], [0.500, 0.500, 0.500], [0.625, 0.375, 0.250], [0.625, 0.750, 0.375], [0.750, 0.375, 0.625], [0.750, 0.875, 0.125], [0.875, 0.125, 0.750], [0.875, 0.250, 0.125]],
  "final_energy_ev_per_atom": -7.6027,
  "sg": "Ia-3d, No. 230"
}

---

# 5
{
  "formula": "Y2Ni3N4",
  "functional": "PBE-GGA",
  "state": "optimized geometry",
  "lattice": [[4.232, -3.876, 0.000], [4.232, 3.876, 0.000], [-1.870, 0.000, 7.290]],
  "species": ["Y", "Y", "Y", "Y", "Ni", "Ni", "Ni", "Ni", "Ni", "Ni", "N", "N", "N", "N", "N", "N", "N", "N"],
  "fractional_positions": [[0.028, 0.268, 0.132], [0.268, 0.028, 0.632], [0.732, 0.972, 0.368], [0.972, 0.732, 0.868], [0.251, 0.505, 0.507], [0.410, 0.590, 0.250], [0.495, 0.749, 0.993], [0.505, 0.251, 0.007], [0.590, 0.410, 0.750], [0.749, 0.495, 0.493], [0.010, 0.264, 0.449], [0.264, 0.010, 0.949], [0.277, 0.514, 0.008], [0.486, 0.723, 0.492], [0.514, 0.277, 0.508], [0.723, 0.486, 0.992], [0.736, 0.990, 0.051], [0.990, 0.736, 0.551]],
  "final_energy_ev_per_atom": -7.5826,
  "sg": "C2/c, No. 15"
}

---

# 6
{
  "formula": "YNi3N",
  "functional": "PBE-GGA",
  "state": "optimized geometry",
  "lattice": [[4.767, 0.000, 0.000], [0.000, 4.767, 0.000], [0.000, 0.000, 4.767]],
  "species": ["Y", "Ni", "Ni", "Ni", "N"],
  "fractional_positions": [[0.000, 0.000, 0.000], [0.000, 0.000, 0.500], [0.000, 0.500, 0.000], [0.500, 0.000, 0.000], [0.500, 0.500, 0.500]],
  "polymorph_energy_ev_per_fu": 13.168,
  "final_energy_ev_per_atom": -4.0078,
  "sg": "Pm-3m, No. 221"
}

---

# 7
{
  "formula": "YNiN",
  "functional": "PBE-GGA",
  "state": "optimized geometry",
  "lattice": [[2.042, 1.179, 2.958], [-2.042, 1.179, 2.958], [0.000, -2.358, 2.958]],
  "species": ["Y", "Ni", "N"],
  "fractional_positions": [[0.000, 0.000, 0.000], [0.489, 0.489, 0.489], [0.267, 0.267, 0.267]],
  "final_energy_ev_per_atom": -7.3331,
  "sg": "R3m, No. 160"
}

---

# 8
{
  "formula": "Y3NiN",
  "functional": "PBE-GGA",
  "state": "optimized geometry",
  "lattice": [[4.723, 0.000, 0.000], [0.000, 4.723, 0.000], [0.000, 0.000, 4.723]],
  "species": ["Y", "Y", "Y", "Ni", "N"],
  "fractional_positions": [[0.000, 0.000, 0.500], [0.000, 0.500, 0.000], [0.500, 0.000, 0.000], [0.500, 0.500, 0.500], [0.000, 0.000, 0.000]],
  "final_energy_ev_per_atom": -7.3155,
  "sg": "Pm-3m, No. 221"
}

---

# 9
{
  "formula": "Y2ZnNiN",
  "functional": "PBE-GGA",
  "state": "optimized geometry",
  "lattice": [[4.867, 0.000, 0.000], [0.000, 4.867, 0.000], [0.000, 0.000, 3.737]],
  "species": ["Y", "Y", "Zn", "Ni", "N"],
  "fractional_positions": [[0.000, 0.500, 0.000], [0.500, 0.000, 0.000], [0.000, 0.000, 0.500], [0.500, 0.500, 0.500], [0.500, 0.500, 0.000]],
  "final_energy_ev_per_atom": -6.3505,
  "sg": "P4/mmm, No. 123"
}

---

# 10
{
  "formula": "YZr2NiN4",
  "functional": "PBE-GGA",
  "state": "optimized geometry",
  "lattice": [[1.618, -5.465, 0.000], [1.618, 5.465, 0.000], [0.000, 0.000, 11.119]],
  "species": ["Y", "Y", "Zr", "Zr", "Zr", "Zr", "Ni", "Ni", "N", "N", "N", "N", "N", "N", "N", "N"],
  "fractional_positions": [[0.111, 0.889, 0.750], [0.889, 0.111, 0.250], [0.368, 0.632, 0.556], [0.368, 0.632, 0.944], [0.632, 0.368, 0.056], [0.632, 0.368, 0.444], [0.152, 0.848, 0.250], [0.848, 0.152, 0.750], [0.000, 0.000, 0.000], [0.000, 0.000, 0.500], [0.270, 0.730, 0.116], [0.270, 0.730, 0.384], [0.450, 0.550, 0.750], [0.550, 0.450, 0.250], [0.730, 0.270, 0.616], [0.730, 0.270, 0.884]],
  "final_energy_ev_per_atom": -9.0986,
  "sg": "Cmcm, No. 63"
}

---

# 11
{
  "formula": "ZnNi2N",
  "functional": "PBE-GGA",
  "state": "optimized geometry",
  "lattice": [[1.367, 0.789, 7.225], [-1.367, 0.789, 7.225], [0.000, -1.579, 7.225]],
  "species": ["Zn", "Ni", "Ni", "N"],
  "fractional_positions": [[0.000, 0.000, 0.000], [0.114, 0.114, 0.114], [0.886, 0.886, 0.886], [0.500, 0.500, 0.500]],
  "polymorph_energy_ev_per_fu": 0.587,
  "final_energy_ev_per_atom": -4.9213,
  "sg": "R-3m, No. 166"
}

---

Formation energy without anion corrections (eV/atom)
-0.3242 1.9213 -0.2146 -0.7757 -0.5189 2.4189 -0.4761 -0.6158 -0.6887 -1.2682 0.3692
DOS at the Fermi energy (states/eV/atom)
1.457 2.867 0.206 0.849 0.485 0.378 0.075 1.622 1.041 0.286 0.904